The following is a DFT calculation (PBE-GGA) of crystalline Y2SbH at its relaxed geometry.

Lattice parameters (Å, degrees): 5.0710 5.0710 5.0710 60.00 60.00 60.00
Closest atoms and distances in Å follow each position.
Positions (direct):
Y  0.7500  0.7500  0.7500  4 H 3.11, 4 Sb 3.11
H  0.0000  0.0000  0.0000  8 Y 3.11
Y  0.2500  0.2500  0.2500  4 Sb 3.11, 4 H 3.11
Sb  0.5000  0.5000  0.5000  8 Y 3.11

Computed properties:
- ρ (g/cm³) = 5.413
- DFT total energy (eV per atom) = -5.4790
- size of the total moment (μB/cell) = 1.46